A geometry-optimized SmY2As3 structure. Source: OQMD via LeMat-Bulk, functional PBE.

Unit cell a=4.1517 b=4.1517 c=10.1626 alpha=90.00 beta=90.00 gamma=120.00
Atoms (fractional coordinates):
1 As 0.0000 0.0000 0.0000
2 As 0.3333 0.6667 0.3288
3 As 0.6667 0.3333 0.6712
4 Sm 0.0000 0.0000 0.5000
5 Y 0.6667 0.3333 0.1644
6 Y 0.3333 0.6667 0.8356

Computed properties:
M_tot   0.0 Bohr magnetons per cell
VASP energy   -6.812 eV per atom

A geometry-optimized ErZrAl2Au4 structure. Source: OQMD via LeMat-Bulk, functional PBE.

Unit cell a=4.5193 b=4.5193 c=8.7987 alpha=90.00 beta=90.00 gamma=120.00
Atoms (fractional coordinates):
1 Al 0.6667 0.3333 0.2991
2 Al 0.6667 0.3333 0.7009
3 Au 0.3333 0.6667 0.1645
4 Au 0.0000 0.0000 0.3362
5 Au 0.0000 0.0000 0.6638
6 Au 0.3333 0.6667 0.8355
7 Er 0.0000 0.0000 0.0000
8 Zr 0.3333 0.6667 0.5000

Computed properties:
M_tot   0.0 Bohr magnetons per cell
VASP energy   -4.877 eV per atom

A geometry-optimized NbAlCoW structure. Source: OQMD via LeMat-Bulk, functional PBE.

Unit cell a=4.3857 b=4.3857 c=4.3857 alpha=60.00 beta=60.00 gamma=60.00
Atoms (fractional coordinates):
1 Al 0.0000 0.0000 0.0000
2 Co 0.7500 0.7500 0.7500
3 Nb 0.5000 0.5000 0.5000
4 W 0.2500 0.2500 0.2500

Computed properties:
M_tot   0.8 Bohr magnetons per cell
VASP energy   -8.424 eV per atom

A geometry-optimized Ni25W4 structure. Source: OQMD via LeMat-Bulk, functional PBE.

Unit cell a=7.5306 b=7.5306 c=7.5306 alpha=109.47 beta=109.47 gamma=109.47
Atoms (fractional coordinates):
1 Ni 0.0000 0.0000 0.0000
2 Ni 0.3750 0.1890 0.0000
3 Ni 0.1890 0.3750 0.0000
4 Ni 0.6822 0.4085 0.0000
5 Ni 0.4085 0.6822 0.0000
6 Ni 0.8110 0.8110 0.1860
7 Ni 0.3750 0.0000 0.1890
8 Ni 0.0000 0.3750 0.1890
9 Ni 0.5915 0.5915 0.2737
10 Ni 0.7263 0.3178 0.3178
11 Ni 0.3178 0.7263 0.3178
12 Ni 0.1890 0.0000 0.3750
13 Ni 0.0000 0.1890 0.3750
14 Ni 0.6822 0.0000 0.4085
15 Ni 0.0000 0.6822 0.4085
16 Ni 0.5915 0.2737 0.5915
17 Ni 0.2737 0.5915 0.5915
18 Ni 0.6250 0.8140 0.6250
19 Ni 0.8140 0.6250 0.6250
20 Ni 0.4085 0.0000 0.6822
21 Ni 0.0000 0.4085 0.6822
22 Ni 0.3178 0.3178 0.7263
23 Ni 0.8110 0.1860 0.8110
24 Ni 0.1860 0.8110 0.8110
25 Ni 0.6250 0.6250 0.8140
26 W 0.6387 0.0000 0.0000
27 W 0.0000 0.6387 0.0000
28 W 0.3613 0.3613 0.3613
29 W 0.0000 0.0000 0.6387

Computed properties:
M_tot   0.4 Bohr magnetons per cell
DFT formation energy   -0.01 eV/atom

A geometry-optimized KSrPt structure. Source: OQMD via LeMat-Bulk, functional PBE.

Unit cell a=5.2762 b=5.2762 c=5.2762 alpha=60.00 beta=60.00 gamma=60.00
Atoms (fractional coordinates):
1 K 0.2500 0.2500 0.2500
2 Pt 0.0000 0.0000 0.0000
3 Sr 0.7500 0.7500 0.7500

Computed properties:
M_tot   0.3 Bohr magnetons per cell
VASP energy   -3.197 eV per atom

A geometry-optimized GdTlTeO structure. Source: OQMD via LeMat-Bulk, functional PBE.

Unit cell a=4.9171 b=8.2035 c=6.8305 alpha=90.00 beta=90.00 gamma=90.00
Atoms (fractional coordinates):
1 Gd 0.5000 0.8728 0.0336
2 Gd 0.5000 0.1272 0.5336
3 O 0.5000 0.0721 0.2308
4 O 0.5000 0.9279 0.7308
5 Te 0.0000 0.6692 0.1090
6 Te 0.0000 0.3308 0.6090
7 Tl 0.0000 0.2604 0.1176
8 Tl 0.0000 0.7396 0.6176

Computed properties:
M_tot   0.0 Bohr magnetons per cell
VASP energy   -5.379 eV per atom

A geometry-optimized K2IrAuBr6 structure. Source: OQMD via LeMat-Bulk, functional PBE.

Unit cell a=7.5349 b=7.5349 c=7.5349 alpha=60.00 beta=60.00 gamma=60.00
Atoms (fractional coordinates):
1 Au 0.0000 0.0000 0.0000
2 Br 0.2620 0.7380 0.2620
3 Br 0.7380 0.2620 0.2620
4 Br 0.7380 0.7380 0.2620
5 Br 0.2620 0.7380 0.7380
6 Br 0.2620 0.2620 0.7380
7 Br 0.7380 0.2620 0.7380
8 Ir 0.5000 0.5000 0.5000
9 K 0.2500 0.2500 0.2500
10 K 0.7500 0.7500 0.7500

Computed properties:
M_tot   0.1 Bohr magnetons per cell
VASP energy   -3.139 eV per atom

A geometry-optimized Li2HfZn structure. Source: OQMD via LeMat-Bulk, functional PBE.

Unit cell a=4.4855 b=4.4855 c=4.4855 alpha=60.00 beta=60.00 gamma=60.00
Atoms (fractional coordinates):
1 Hf 0.2500 0.2500 0.2500
2 Li 0.0000 0.0000 0.0000
3 Li 0.7500 0.7500 0.7500
4 Zn 0.5000 0.5000 0.5000

Computed properties:
M_tot   0.0 Bohr magnetons per cell
VASP energy   -3.642 eV per atom

A geometry-optimized LiPmNO structure. Source: OQMD via LeMat-Bulk, functional PBE.

Unit cell a=3.9399 b=4.8002 c=6.3425 alpha=90.00 beta=90.00 gamma=90.00
Atoms (fractional coordinates):
1 Li 0.5000 0.9793 0.1609
2 Li 0.5000 0.4793 0.8391
3 N 0.0000 0.9434 0.3414
4 N 0.0000 0.4434 0.6586
5 O 0.5000 0.3811 0.1312
6 O 0.5000 0.8811 0.8688
7 Pm 0.0000 0.4501 0.2832
8 Pm 0.0000 0.9501 0.7169

Computed properties:
M_tot   1.5 Bohr magnetons per cell
VASP energy   -6.395 eV per atom

A geometry-optimized Ta11Co2 structure. Source: OQMD via LeMat-Bulk, functional PBE.

Unit cell a=9.4609 b=9.4609 c=9.4609 alpha=33.85 beta=33.85 gamma=33.85
Atoms (fractional coordinates):
1 Co 0.1706 0.1706 0.1706
2 Co 0.8294 0.8294 0.8294
3 Ta 0.0000 0.0000 0.0000
4 Ta 0.5800 0.0852 0.0852
5 Ta 0.0852 0.5800 0.0852
6 Ta 0.3502 0.3502 0.3502
7 Ta 0.9148 0.9148 0.4200
8 Ta 0.4510 0.4510 0.4510
9 Ta 0.5490 0.5490 0.5490
10 Ta 0.0852 0.0852 0.5800
11 Ta 0.6498 0.6498 0.6498
12 Ta 0.9148 0.4200 0.9148
13 Ta 0.4200 0.9148 0.9148

Computed properties:
M_tot   0.0 Bohr magnetons per cell
DFT formation energy   0.35 eV/atom